1.
Below is CeAgIrO6 after structural relaxation, with properties calculated at the PBE-GGA level.

Geometry as extended XYZ:
```
18
Lattice="5.5879 0.0000 0.0000 -2.7939 4.8393 0.0000 0.0000 0.0000 9.1941" Properties=species:S:1:pos:R:3 pbc="T T T"
O 3.6419 2.9887 3.3748
O 3.5613 0.1909 3.3748
O -0.8480 1.8505 5.8193
O 0.7674 4.6483 7.9718
O 1.6153 3.1796 5.8193
O 4.4093 1.6596 1.2223
O 2.0266 0.1909 1.2223
O 0.8480 1.8505 7.9718
O -1.6153 3.1796 7.9718
O 1.9460 2.9887 1.2223
O -0.7674 4.6483 5.8193
O 1.1786 1.6596 3.3748
Ir 0.0000 3.2262 6.8956
Ir 2.7939 1.6131 2.2985
Ce 2.7939 1.6131 6.8956
Ce 0.0000 3.2262 2.2985
Ag 0.0000 0.0000 4.5971
Ag 0.0000 0.0000 0.0000
```

## Properties
ΔE_f (raw), meV/atom: -1325
Total energy, eV per atom: -6.5910
DOS at the Fermi energy, states/eV per atom: 0.5549


2.
Below is GdErIr after structural relaxation, with properties calculated at the PBE-GGA level.

Geometry as extended XYZ:
```
3
Lattice="4.8052 0.0000 0.0000 2.4026 4.1614 0.0000 2.4026 1.3871 3.9234" Properties=species:S:1:pos:R:3 pbc="T T T"
Ir 2.4026 1.3871 0.9809
Gd 0.0000 0.0000 0.0000
Er 4.8052 2.7743 1.9617
```

## Properties
DFT formation energy, eV/atom: -0.69
Relative energy among the computed polymorphs, meV per atom: 0
Total energy, eV per atom: -9.8566
DOS at the Fermi energy, states/eV per atom: 0.9872


3.
Below is UCo3Ge3 after structural relaxation, with properties calculated at the PBE-GGA level.

Geometry as extended XYZ:
```
14
Lattice="6.6175 0.0000 0.0000 3.3088 5.7309 0.0000 3.3088 1.9103 5.6767" Properties=species:S:1:pos:R:3 pbc="T T T"
Ge 4.4058 4.0960 3.5721
Ge 7.9619 5.5983 3.5721
Ge 7.4848 1.7675 3.5721
Ge 5.2731 2.0429 2.1046
Ge 5.7502 5.8737 2.1046
Ge 8.8292 3.5452 2.1046
Co 8.1775 5.6154 0.9906
Co 8.9518 3.3670 4.6861
Co 4.2832 4.2742 0.9906
Co 5.0576 2.0258 4.6861
Co 7.3919 1.5723 0.9906
Co 5.8431 6.0690 4.6861
U 6.6175 3.8206 5.5572
U 6.6175 3.8206 0.1195
```

## Properties
DFT formation energy, eV/atom: -0.06
Relative energy among the computed polymorphs, meV per atom: 0
Total energy, eV per atom: -6.6964
DOS at the Fermi energy, states/eV per atom: 0.8792